This record from Alexandria describes a geometry-optimized AcY3Ho3 structure. The functional is PBE-GGA.

Mass density   6.74 Mg/m³
Electronic total energy   -35.30 eV for the cell shown
Total moment   0.000 μB per formula unit
ΔE to the lowest computed polymorph   1.03 eV per formula unit
Calculated volume   34.8 A^3/atom

Cell and atoms, written as POSCAR:
```
AcY3Ho3
1.0
6.649 0.000 0.000
-2.216 6.502 0.000
-2.216 -3.251 5.631
Ac Y Ho
1 3 3
direct
0.719 0.000 0.000 Ac
0.003 0.544 0.544 Y
0.458 0.000 0.456 Y
0.458 0.456 0.000 Y
0.420 0.461 0.461 Ho
0.959 0.000 0.539 Ho
0.959 0.539 0.000 Ho
```



This record from Alexandria describes a geometry-optimized Th6Ir2Pt3S structure. The functional is PBE-GGA.

Mass density   12.86 Mg/m³
Electronic total energy   -98.93 eV for the cell shown
Total moment   0.000 μB per formula unit
Formation energy (no corrections)   -1.2037 eV/atom
Calculated volume   25.8 A^3/atom

Cell and atoms, written as POSCAR:
```
Th6Ir2Pt3S
1.0
4.127 0.000 0.000
0.000 8.411 0.292
-2.063 -2.436 8.823
Th Ir Pt S
6 2 3 1
direct
0.330 0.908 0.659 Th
0.667 0.579 0.333 Th
0.670 0.092 0.341 Th
0.008 0.255 0.015 Th
0.992 0.745 0.985 Th
0.333 0.421 0.667 Th
0.833 0.669 0.666 Ir
0.167 0.331 0.334 Ir
0.500 0.500 0.000 Pt
0.839 0.165 0.677 Pt
0.161 0.835 0.323 Pt
0.500 0.000 0.000 S
```



This record from Alexandria describes a geometry-optimized K2Ta2Pt structure. The functional is PBE-GGA.

Mass density   7.67 Mg/m³
Electronic total energy   -56.43 eV for the cell shown
Total moment   0.000 μB per formula unit
ΔE to the lowest computed polymorph   0.00 eV per formula unit
Calculated volume   27.5 A^3/atom

Cell and atoms, written as POSCAR:
```
K2Ta2Pt
1.0
6.597 0.000 0.000
0.000 6.597 0.000
0.000 0.000 6.322
K Pt Ta
4 2 4
direct
0.199 0.699 0.500 K
0.699 0.801 0.500 K
0.801 0.301 0.500 K
0.301 0.199 0.500 K
0.000 0.000 0.000 Pt
0.500 0.500 0.000 Pt
0.367 0.867 0.000 Ta
0.867 0.633 0.000 Ta
0.633 0.133 0.000 Ta
0.133 0.367 0.000 Ta
```



- calculated volume of number 3 (K2Ta2Pt)?
  27.5 A^3/atom



- Among the records above, which one has the highest calculated volume?
  AcY3Ho3



What did the first record say?
This record from Alexandria describes a geometry-optimized AcY3Ho3 structure. The functional is PBE-GGA.

Mass density   6.74 Mg/m³
Electronic total energy   -35.30 eV for the cell shown
Total moment   0.000 μB per formula unit
ΔE to the lowest computed polymorph   1.03 eV per formula unit
Calculated volume   34.8 A^3/atom

Cell and atoms, written as POSCAR:
```
AcY3Ho3
1.0
6.649 0.000 0.000
-2.216 6.502 0.000
-2.216 -3.251 5.631
Ac Y Ho
1 3 3
direct
0.719 0.000 0.000 Ac
0.003 0.544 0.544 Y
0.458 0.000 0.456 Y
0.458 0.456 0.000 Y
0.420 0.461 0.461 Ho
0.959 0.000 0.539 Ho
0.959 0.539 0.000 Ho
```